# HfMgCdRh | the Alexandria database | GGA-PBE | relaxed
# **Calculated formation energy**: -1.8 eV/f.u.
# **N(E_F)**: 1.35 states/eV per cell
data_HfMgCdRh
_chemical_formula_sum 'Hf1 Mg1 Cd1 Rh1'
_cell_length_a 3.2533
_cell_length_b 3.2533
_cell_length_c 7.2127
_cell_angle_alpha 90.00
_cell_angle_beta 90.00
_cell_angle_gamma 90.00
_space_group_name_H-M_alt 'P 4 m m'
_space_group_IT_number 99
loop_
_space_group_symop_operation_xyz
'x,y,z'
'-y,x,z'
'-x,-y,z'
'y,-x,z'
'-x,y,z'
'y,x,z'
'x,-y,z'
'-y,-x,z'
loop_
_atom_site_label
_atom_site_type_symbol
_atom_site_fract_x
_atom_site_fract_y
_atom_site_fract_z
Hf1 Hf 0.0000 0.0000 0.0000
Mg1 Mg 0.0000 0.0000 0.4327
Cd1 Cd 0.5000 0.5000 0.7018
Rh1 Rh 0.5000 0.5000 0.1973